(1)
Entry from Alexandria: an optimized crystal structure of LiTlB3 (GGA-PBE).

Cell lengths 4.0963, 4.0963, 4.0963 Å; angles 90.00, 90.00, 90.00 degrees
Element x y z (fractional)
Li 0.0000 0.0000 0.0000
Tl 0.5000 0.5000 0.5000
B 0.0000 0.0000 0.5000
B 0.0000 0.5000 0.0000
B 0.5000 0.0000 0.0000

Symmetry: Pm-3m, No. 221
Formation energy: 45.51 kcal/mol of atoms


(2)
Entry from Alexandria: an optimized crystal structure of LiTlZn2B (GGA-PBE).

Cell lengths 4.1479, 4.1479, 4.9301 Å; angles 90.00, 90.00, 90.00 degrees
Element x y z (fractional)
Li 0.0000 0.0000 0.0000
Tl 0.5000 0.5000 0.0000
Zn 0.0000 0.5000 0.5000
Zn 0.5000 0.0000 0.5000
B 0.0000 0.0000 0.5000

Symmetry: P4/mmm, No. 123
Formation energy: 4.08 kcal/mol of atoms


(3)
Entry from Alexandria: an optimized crystal structure of LiTmB4 (GGA-PBE).

Cell lengths 4.4745, 4.4745, 4.4745 Å; angles 60.00, 60.00, 60.00 degrees
Element x y z (fractional)
Li 0.0000 0.0000 0.0000
Tm 0.2500 0.2500 0.2500
B 0.2063 0.5979 0.5979
B 0.5979 0.2063 0.5979
B 0.5979 0.5979 0.2063
B 0.5979 0.5979 0.5979

Symmetry: F-43m, No. 216
Formation energy: 9.42 kcal/mol of atoms


(4)
Entry from Alexandria: an optimized crystal structure of LiTmB4 (GGA-PBE).

Cell lengths 5.8024, 11.4552, 3.5734 Å; angles 90.00, 90.00, 90.00 degrees
Element x y z (fractional)
Li 0.1292 0.0849 0.0000
Li 0.3708 0.5849 0.0000
Li 0.6292 0.4151 0.0000
Li 0.8708 0.9151 0.0000
Tm 0.1236 0.3484 0.0000
Tm 0.3764 0.8484 0.0000
Tm 0.6236 0.1516 0.0000
Tm 0.8764 0.6516 0.0000
B 0.0292 0.8061 0.5000
B 0.1115 0.9501 0.5000
B 0.1364 0.5329 0.5000
B 0.2131 0.6860 0.5000
B 0.2869 0.1860 0.5000
B 0.3636 0.0329 0.5000
B 0.3885 0.4501 0.5000
B 0.4708 0.3061 0.5000
B 0.5292 0.6939 0.5000
B 0.6115 0.5499 0.5000
B 0.6364 0.9671 0.5000
B 0.7131 0.8140 0.5000
B 0.7869 0.3140 0.5000
B 0.8636 0.4671 0.5000
B 0.8885 0.0499 0.5000
B 0.9708 0.1939 0.5000

Symmetry: Pbam, No. 55
Formation energy: -9.70 kcal/mol of atoms


(5)
Entry from Alexandria: an optimized crystal structure of LiUB12 (GGA-PBE).

Cell lengths 4.1037, 4.1037, 8.2332 Å; angles 90.00, 90.00, 90.00 degrees
Element x y z (fractional)
Li 0.0000 0.0000 0.0000
U 0.0000 0.0000 0.5000
B 0.1998 0.5000 0.2520
B 0.1998 0.5000 0.7480
B 0.5000 0.1998 0.2520
B 0.5000 0.1998 0.7480
B 0.5000 0.5000 0.1010
B 0.5000 0.5000 0.4015
B 0.5000 0.5000 0.5985
B 0.5000 0.5000 0.8990
B 0.5000 0.8002 0.2520
B 0.5000 0.8002 0.7480
B 0.8002 0.5000 0.2520
B 0.8002 0.5000 0.7480

Symmetry: P4/mmm, No. 123
Formation energy: -4.26 kcal/mol of atoms


(6)
Entry from Alexandria: an optimized crystal structure of LiUB4 (GGA-PBE).

Cell lengths 5.8543, 5.8543, 3.5738 Å; angles 90.00, 90.00, 104.22 degrees
Element x y z (fractional)
Li 0.1691 0.1691 0.0000
Li 0.8309 0.8309 0.0000
U 0.3025 0.6975 0.0000
U 0.6975 0.3025 0.0000
B 0.0647 0.3829 0.5000
B 0.0927 0.9073 0.5000
B 0.3783 0.3783 0.5000
B 0.3829 0.0647 0.5000
B 0.6171 0.9353 0.5000
B 0.6217 0.6217 0.5000
B 0.9073 0.0927 0.5000
B 0.9353 0.6171 0.5000

Symmetry: Cmmm, No. 65
Formation energy: -7.64 kcal/mol of atoms


(7)
Entry from Alexandria: an optimized crystal structure of LiVB3 (GGA-PBE).

Cell lengths 4.0027, 4.0027, 4.0027 Å; angles 90.00, 90.00, 90.00 degrees
Element x y z (fractional)
Li 0.0000 0.0000 0.0000
V 0.5000 0.5000 0.5000
B 0.0000 0.5000 0.5000
B 0.5000 0.0000 0.5000
B 0.5000 0.5000 0.0000

Symmetry: Pm-3m, No. 221
Formation energy: 23.53 kcal/mol of atoms


(8)
Entry from Alexandria: an optimized crystal structure of LiVB3 (GGA-PBE).

Cell lengths 3.4867, 3.4867, 3.4867 Å; angles 90.00, 90.00, 90.00 degrees
Element x y z (fractional)
Li 0.0000 0.0000 0.0000
V 0.5000 0.5000 0.5000
B 0.0000 0.0000 0.5000
B 0.0000 0.5000 0.0000
B 0.5000 0.0000 0.0000

Symmetry: Pm-3m, No. 221
Formation energy: 33.71 kcal/mol of atoms


(9)
Entry from Alexandria: an optimized crystal structure of LiVB (GGA-PBE).

Cell lengths 6.8848, 6.8598, 3.0769 Å; angles 77.52, 76.61, 25.87 degrees
Element x y z (fractional)
Li 0.2288 0.7712 0.2288
Li 0.7712 0.2288 0.7712
V 0.3194 0.3194 0.6806
V 0.6806 0.6806 0.3194
B 0.1548 0.1548 0.8452
B 0.8452 0.8452 0.1548

Symmetry: Fmmm, No. 69
Formation energy: -1.06 kcal/mol of atoms


(10)
Entry from Alexandria: an optimized crystal structure of LiBW2 (GGA-PBE).

Cell lengths 8.8329, 8.8329, 8.8329 Å; angles 156.05, 156.05, 34.13 degrees
Element x y z (fractional)
Li 0.0000 0.0000 0.0000
Li 0.7500 0.2500 0.5000
B 0.2500 0.7500 0.5000
B 0.5000 0.5000 0.0000
W 0.1404 0.6250 0.0154
W 0.3750 0.3904 0.5154
W 0.6096 0.1250 0.9846
W 0.8750 0.8596 0.4846

Symmetry: I-42d, No. 122
Formation energy: 25.06 kcal/mol of atoms


(11)
Entry from Alexandria: an optimized crystal structure of LiB4W (GGA-PBE).

Cell lengths 3.0073, 3.1659, 5.3111 Å; angles 90.00, 90.00, 90.00 degrees
Element x y z (fractional)
Li 0.0000 0.0000 0.0000
B 0.0000 0.5000 0.3278
B 0.0000 0.5000 0.6722
B 0.5000 0.5000 0.1629
B 0.5000 0.5000 0.8371
W 0.5000 0.0000 0.5000

Symmetry: Pmmm, No. 47
Formation energy: -7.08 kcal/mol of atoms


(12)
Entry from Alexandria: an optimized crystal structure of Li3BW (GGA-PBE).

Cell lengths 3.8979, 3.8979, 3.8979 Å; angles 90.00, 90.00, 90.00 degrees
Element x y z (fractional)
Li 0.0000 0.0000 0.5000
Li 0.0000 0.5000 0.0000
Li 0.5000 0.0000 0.0000
B 0.0000 0.0000 0.0000
W 0.5000 0.5000 0.5000

Symmetry: Pm-3m, No. 221
Formation energy: 28.68 kcal/mol of atoms


| no. | calculated volume (A^3/atom) |
| --- | --- |
| 1 | 13.75 |
| 2 | 16.97 |
| 3 | 10.56 |
| 4 | 9.90 |
| 5 | 9.90 |
| 6 | 9.89 |
| 7 | 12.83 |
| 8 | 8.48 |
| 9 | 10.28 |
| 10 | 14.19 |
| 11 | 8.43 |
| 12 | 11.84 |